The following is a DFT calculation (PBE) of a relaxed PmYTe3 crystal.

Structure (extended XYZ):
```
20
Lattice="8.1413 0.0000 0.0000 0.0000 7.3676 0.0000 0.0000 0.0000 11.5553" Properties=species:S:1:pos:R:3 pbc="T T T"
Pm 0.0000 3.6838 0.0000
Pm 4.0706 0.0000 5.7776
Pm 4.0706 0.0000 0.0000
Pm 0.0000 3.6838 5.7776
Y 3.0819 4.0922 8.6665
Y 0.9887 0.4084 2.8888
Y 5.0593 3.2754 2.8888
Y 7.1526 6.9592 8.6665
Te 6.7266 1.1794 1.0292
Te 5.4852 4.8633 6.8069
Te 5.4852 4.8633 10.5261
Te 1.4146 6.1882 6.8069
Te 1.4146 6.1882 10.5261
Te 2.6560 2.5044 4.7484
Te 2.6560 2.5044 1.0292
Te 6.7266 1.1794 4.7484
Te 4.5382 1.2451 8.6665
Te 7.6737 4.9289 2.8888
Te 3.6030 6.1225 2.8888
Te 0.4676 2.4387 8.6665
```

## Properties
- Mass density: 5.91 Mg/m³
- Total moment: 0.000 μB per atom
- Energy relative to the elements, uncorrected: -1.34 eV per atom
- Relative energy among the computed polymorphs: 0.101 eV per atom
- Volume: 693 Å³/cell
- DFT total energy: -5.465 eV per atom